# 1
# PBE-GGA Sr2RhPb8, relaxed
# Energy of formation ... -0.263 eV per atom
# DFT total energy ... -3.934 eV/atom
# Density ... 9815 kg/m3
# Calculated volume ... 327 Å³ per cell
data_Sr2RhPb8
_chemical_formula_sum 'Sr2 Rh1 Pb8'
_symmetry_space_group_name_H-M 'P 4/m m m'
_symmetry_Int_Tables_number 123
_symmetry_space_group_name_Hall '-P 4 2'
_cell_length_a 4.984
_cell_length_b 4.984
_cell_length_c 13.184
_cell_angle_alpha 90.00
_cell_angle_beta 90.00
_cell_angle_gamma 90.00
loop_
_atom_site_label
_atom_site_type_symbol
_atom_site_fract_x
_atom_site_fract_y
_atom_site_fract_z
Sr1 Sr 0.000 0.000 0.198
Rh1 Rh 0.000 0.000 0.500
Pb1 Pb 0.000 0.500 0.000
Pb2 Pb 0.000 0.500 0.381
Pb3 Pb 0.500 0.500 0.190

---

# 2
# PBE-GGA SrTeRhPb2, relaxed
# ΔE to the lowest computed polymorph ... 0.000 eV per atom
# ΔE_f (raw) ... -0.437 eV per atom
# DFT total energy ... -4.356 eV/atom
# Density ... 7622 kg/m3
# Calculated volume ... 160 Å³ per cell
data_SrTeRhPb2
_chemical_formula_sum 'Sr1 Te1 Rh1 Pb2'
_symmetry_space_group_name_H-M 'P 4/m m m'
_symmetry_Int_Tables_number 123
_symmetry_space_group_name_Hall '-P 4 2'
_cell_length_a 5.217
_cell_length_b 5.217
_cell_length_c 5.864
_cell_angle_alpha 90.00
_cell_angle_beta 90.00
_cell_angle_gamma 90.00
loop_
_atom_site_label
_atom_site_type_symbol
_atom_site_fract_x
_atom_site_fract_y
_atom_site_fract_z
Sr1 Sr 0.000 0.000 0.000
Te1 Te 0.500 0.500 0.000
Rh1 Rh 0.000 0.000 0.500
Pb1 Pb 0.000 0.500 0.500

---

# 3
# PBE-GGA Sr2TeRhPb, relaxed
# ΔE_f (raw) ... -0.660 eV per atom
# DFT total energy ... -4.173 eV/atom
# Density ... 5952 kg/m3
# Calculated volume ... 171 Å³ per cell
data_Sr2TeRhPb
_chemical_formula_sum 'Sr2 Te1 Rh1 Pb1'
_symmetry_space_group_name_H-M 'P 4/m m m'
_symmetry_Int_Tables_number 123
_symmetry_space_group_name_Hall '-P 4 2'
_cell_length_a 5.778
_cell_length_b 5.778
_cell_length_c 5.122
_cell_angle_alpha 90.00
_cell_angle_beta 90.00
_cell_angle_gamma 90.00
loop_
_atom_site_label
_atom_site_type_symbol
_atom_site_fract_x
_atom_site_fract_y
_atom_site_fract_z
Sr1 Sr 0.000 0.500 0.000
Te1 Te 0.000 0.000 0.500
Rh1 Rh 0.500 0.500 0.000
Pb1 Pb 0.500 0.500 0.500

---

# 4
# PBE-GGA SrTeRhPb2, relaxed
# ΔE to the lowest computed polymorph ... 1.610 eV per atom
# ΔE_f (raw) ... 1.173 eV per atom
# DFT total energy ... -2.745 eV/atom
# Density ... 5582 kg/m3
# Calculated volume ... 218 Å³ per cell
data_SrTeRhPb2
_chemical_formula_sum 'Sr1 Te1 Rh1 Pb2'
_symmetry_space_group_name_H-M 'P 4/m m m'
_symmetry_Int_Tables_number 123
_symmetry_space_group_name_Hall '-P 4 2'
_cell_length_a 6.096
_cell_length_b 6.096
_cell_length_c 5.864
_cell_angle_alpha 90.00
_cell_angle_beta 90.00
_cell_angle_gamma 90.00
loop_
_atom_site_label
_atom_site_type_symbol
_atom_site_fract_x
_atom_site_fract_y
_atom_site_fract_z
Sr1 Sr 0.000 0.000 0.000
Te1 Te 0.000 0.000 0.500
Rh1 Rh 0.500 0.500 0.500
Pb1 Pb 0.000 0.500 0.000

---

# 5
# PBE-GGA SrTlRhPb2, relaxed
# Energy of formation ... -0.102 eV per atom
# ΔE to the lowest computed polymorph ... 0.065 eV per atom
# DFT total energy ... -3.865 eV/atom
# Density ... 8702 kg/m3
# Calculated volume ... 154 Å³ per cell
data_SrTlRhPb2
_chemical_formula_sum 'Sr1 Tl1 Rh1 Pb2'
_symmetry_space_group_name_H-M 'P 4/m m m'
_symmetry_Int_Tables_number 123
_symmetry_space_group_name_Hall '-P 4 2'
_cell_length_a 5.379
_cell_length_b 5.379
_cell_length_c 5.337
_cell_angle_alpha 90.00
_cell_angle_beta 90.00
_cell_angle_gamma 90.00
loop_
_atom_site_label
_atom_site_type_symbol
_atom_site_fract_x
_atom_site_fract_y
_atom_site_fract_z
Sr1 Sr 0.000 0.000 0.000
Tl1 Tl 0.500 0.500 0.000
Rh1 Rh 0.500 0.500 0.500
Pb1 Pb 0.000 0.500 0.500

---

# 6
# PBE-GGA SrTlRhPb2, relaxed
# Energy of formation ... -0.167 eV per atom
# ΔE to the lowest computed polymorph ... 0.000 eV per atom
# DFT total energy ... -3.930 eV/atom
# Density ... 8439 kg/m3
# Calculated volume ... 159 Å³ per cell
data_SrTlRhPb2
_chemical_formula_sum 'Sr1 Tl1 Rh1 Pb2'
_symmetry_space_group_name_H-M 'P 4/m m m'
_symmetry_Int_Tables_number 123
_symmetry_space_group_name_Hall '-P 4 2'
_cell_length_a 5.308
_cell_length_b 5.308
_cell_length_c 5.652
_cell_angle_alpha 90.00
_cell_angle_beta 90.00
_cell_angle_gamma 90.00
loop_
_atom_site_label
_atom_site_type_symbol
_atom_site_fract_x
_atom_site_fract_y
_atom_site_fract_z
Sr1 Sr 0.000 0.000 0.000
Tl1 Tl 0.500 0.500 0.000
Rh1 Rh 0.000 0.000 0.500
Pb1 Pb 0.000 0.500 0.500